(1)
DFT (GGA-PBEsol) results for a relaxed Sr3FeOs crystal.

a = 5.2358 Å, b = 5.2358 Å, c = 5.2358 Å
α = 90.00°, β = 90.00°, γ = 90.00°
Last column: nearest neighbours and their distance in Å.
Sites, in units of the cell vectors:
Sr 0.0000 0.0000 0.5000  2 Fe 2.62
Sr 0.0000 0.5000 0.0000  2 Fe 2.62
Sr 0.5000 0.0000 0.0000  2 Fe 2.62
Fe 0.0000 0.0000 0.0000  6 Sr 2.62
Os 0.5000 0.5000 0.5000  12 Sr 3.70

Calculated values
Formation energy, eV per atom: 1.434
DOS(E_F), states/eV/atom: 1.96
Volume, Å³ per atom: 28.71
Magnetization, μB/f.u.: 2.2

(2)
DFT (GGA-PBEsol) results for a relaxed Ta2FeOs crystal.

a = 3.0751 Å, b = 3.0751 Å, c = 6.3047 Å
α = 90.00°, β = 90.00°, γ = 90.00°
Last column: nearest neighbours and their distance in Å.
Sites, in units of the cell vectors:
Ta 0.0000 0.0000 0.2372  4 Fe 2.64, 4 Os 2.73
Ta 0.0000 0.0000 0.7628  4 Fe 2.64, 4 Os 2.73
Fe 0.5000 0.5000 0.0000  8 Ta 2.64
Os 0.5000 0.5000 0.5000  8 Ta 2.73

Calculated values
Formation energy, eV per atom: -0.235
DOS(E_F), states/eV/atom: 0.61
Polymorph energy (0 for the lowest one), eV/atom: 0.012
Volume, Å³ per atom: 14.90
Magnetization, μB/f.u.: 1.4

(3)
DFT (GGA-PBEsol) results for a relaxed Ta2FeOs crystal.

a = 6.2184 Å, b = 6.2184 Å, c = 6.2184 Å
α = 90.00°, β = 90.00°, γ = 90.00°
Last column: nearest neighbours and their distance in Å.
Sites, in units of the cell vectors:
Ta 0.2500 0.2500 0.2500  4 Fe 2.69, 4 Os 2.69
Ta 0.2500 0.2500 0.7500  4 Fe 2.69, 4 Os 2.69
Ta 0.2500 0.7500 0.2500  4 Fe 2.69, 4 Os 2.69
Ta 0.2500 0.7500 0.7500  4 Fe 2.69, 4 Os 2.69
Ta 0.7500 0.2500 0.2500  4 Fe 2.69, 4 Os 2.69
Ta 0.7500 0.2500 0.7500  4 Fe 2.69, 4 Os 2.69
Ta 0.7500 0.7500 0.2500  4 Fe 2.69, 4 Os 2.69
Ta 0.7500 0.7500 0.7500  4 Fe 2.69, 4 Os 2.69
Fe 0.0000 0.0000 0.0000  8 Ta 2.69
Fe 0.0000 0.5000 0.5000  8 Ta 2.69
Fe 0.5000 0.0000 0.5000  8 Ta 2.69
Fe 0.5000 0.5000 0.0000  8 Ta 2.69
Os 0.0000 0.0000 0.5000  8 Ta 2.69
Os 0.0000 0.5000 0.0000  8 Ta 2.69
Os 0.5000 0.0000 0.0000  8 Ta 2.69
Os 0.5000 0.5000 0.5000  8 Ta 2.69

Calculated values
Formation energy, eV per atom: -0.247
DOS(E_F), states/eV/atom: 0.50
Polymorph energy (0 for the lowest one), eV/atom: 0.000
Volume, Å³ per atom: 15.03
Magnetization, μB/f.u.: 1.5

(4)
DFT (GGA-PBEsol) results for a relaxed Ta2FeOs crystal.

a = 3.1431 Å, b = 3.1431 Å, c = 6.1275 Å
α = 90.00°, β = 90.00°, γ = 90.00°
Last column: nearest neighbours and their distance in Å.
Sites, in units of the cell vectors:
Ta 0.0000 0.0000 0.0000  4 Os 2.68, 4 Ta 2.84, 1 Fe 2.98
Ta 0.5000 0.5000 0.2895  4 Fe 2.61, 4 Ta 2.84, 1 Os 2.86
Fe 0.0000 0.0000 0.5138  4 Ta 2.61, 4 Os 2.67
Os 0.5000 0.5000 0.7563  4 Fe 2.67, 5 Ta 2.68-2.86

Calculated values
Formation energy, eV per atom: -0.083
DOS(E_F), states/eV/atom: 0.74
Polymorph energy (0 for the lowest one), eV/atom: 0.164
Volume, Å³ per atom: 15.13
Magnetization, μB/f.u.: 2.4

(5)
DFT (GGA-PBEsol) results for a relaxed TaFe2Os crystal.

a = 3.1259 Å, b = 4.1248 Å, c = 4.1940 Å
α = 90.00°, β = 90.00°, γ = 90.00°
Last column: nearest neighbours and their distance in Å.
Sites, in units of the cell vectors:
Ta 0.0000 0.0000 0.0000  4 Fe 2.59, 4 Os 2.62
Fe 0.0000 0.5000 0.5000  4 Os 2.59, 4 Fe 2.62
Fe 0.5000 0.5000 0.0000  4 Ta 2.59, 4 Fe 2.62
Os 0.5000 0.0000 0.5000  4 Fe 2.59, 4 Ta 2.62

Calculated values
Formation energy, eV per atom: -0.048
DOS(E_F), states/eV/atom: 0.60
Volume, Å³ per atom: 13.52
Magnetization, μB/f.u.: 4.5

(6)
DFT (GGA-PBEsol) results for a relaxed TaFeOs crystal.

a = 5.7152 Å, b = 5.7152 Å, c = 5.7152 Å
α = 90.00°, β = 90.00°, γ = 90.00°
Last column: nearest neighbours and their distance in Å.
Sites, in units of the cell vectors:
Ta 0.0000 0.0000 0.0000  4 Fe 2.47
Ta 0.0000 0.5000 0.5000  4 Fe 2.47
Ta 0.5000 0.0000 0.5000  4 Fe 2.47
Ta 0.5000 0.5000 0.0000  4 Fe 2.47
Fe 0.2500 0.2500 0.2500  4 Ta 2.47, 4 Os 2.47
Fe 0.2500 0.7500 0.7500  4 Os 2.47, 4 Ta 2.47
Fe 0.7500 0.2500 0.7500  4 Os 2.47, 4 Ta 2.47
Fe 0.7500 0.7500 0.2500  4 Os 2.47, 4 Ta 2.47
Os 0.0000 0.0000 0.5000  4 Fe 2.47
Os 0.0000 0.5000 0.0000  4 Fe 2.47
Os 0.5000 0.0000 0.0000  4 Fe 2.47
Os 0.5000 0.5000 0.5000  4 Fe 2.47

Calculated values
Formation energy, eV per atom: 0.405
DOS(E_F), states/eV/atom: 1.23
Volume, Å³ per atom: 15.56
Magnetization, μB/f.u.: 0.6

(7)
DFT (GGA-PBEsol) results for a relaxed Ta2FeOs crystal.

a = 3.1942 Å, b = 4.2530 Å, c = 4.4182 Å
α = 90.00°, β = 90.00°, γ = 90.00°
Last column: nearest neighbours and their distance in Å.
Sites, in units of the cell vectors:
Ta 0.0000 0.0000 0.0000  4 Os 2.66, 4 Ta 2.73
Ta 0.5000 0.0000 0.5000  4 Fe 2.66, 4 Ta 2.73
Fe 0.0000 0.5000 0.5000  4 Ta 2.66, 4 Os 2.73
Os 0.5000 0.5000 0.0000  4 Ta 2.66, 4 Fe 2.73

Calculated values
Formation energy, eV per atom: -0.048
DOS(E_F), states/eV/atom: 0.71
Polymorph energy (0 for the lowest one), eV/atom: 0.199
Volume, Å³ per atom: 15.00
Magnetization, μB/f.u.: 2.1

(8)
DFT (GGA-PBEsol) results for a relaxed TaFe2Os crystal.

a = 3.0518 Å, b = 3.0518 Å, c = 5.7910 Å
α = 90.00°, β = 90.00°, γ = 90.00°
Last column: nearest neighbours and their distance in Å.
Sites, in units of the cell vectors:
Ta 0.0000 0.0000 0.0000  5 Fe 2.61-2.74, 4 Os 2.67
Fe 0.0000 0.0000 0.4729  4 Fe 2.50, 4 Os 2.62, 1 Ta 2.74
Fe 0.5000 0.5000 0.2540  4 Fe 2.50, 4 Ta 2.61, 1 Os 2.76
Os 0.5000 0.5000 0.7299  5 Fe 2.62-2.76, 4 Ta 2.67

Calculated values
Formation energy, eV per atom: -0.060
DOS(E_F), states/eV/atom: 0.47
Volume, Å³ per atom: 13.48
Magnetization, μB/f.u.: 4.5

Q: formation energy of number 5 (TaFe2Os)?
A: -0.048 eV per atom